Entry 1:
This record from the Alexandria database describes crystalline ReAgBr2 at its relaxed geometry. The functional is PBEsol.

abc: 3.1618 4.3362 6.0254
angles: 90.00 90.00 90.00
With the nearest neighbours (Å) after each atom.
Fractional positions:
Ag 0.0000 0.5000 0.5000  4 Br 2.68
Br 0.5000 0.0000 0.5000  4 Ag 2.68
Br 0.0000 0.0000 0.0000  4 Re 2.68
Re 0.5000 0.5000 0.0000  4 Br 2.68

Computed properties:
V   20.7 A^3/atom
Relative energy among the computed polymorphs   1.50 eV/f.u.
Total moment   3.063 μB/f.u.
Raw formation energy   1068.5 meV per atom
Fermi-level density of states   2.328 states/eV/f.u.
DFT total energy   -4.0273 eV per atom



Entry 2:
This record from the Alexandria database describes crystalline MgIn2 at its relaxed geometry. The functional is PBEsol.

abc: 3.3601 6.1446 7.4814
angles: 104.50 90.00 105.87
With the nearest neighbours (Å) after each atom.
Fractional positions:
Mg 0.7269 0.4538 0.9471  8 In 3.11-3.28, 4 Mg 3.32-3.36
Mg 0.0484 0.0968 0.6037  8 In 3.07-3.25, 4 Mg 3.32-3.36
In 0.0110 0.0220 0.9941  4 Mg 3.07-3.28, 8 In 3.22-3.36
In 0.3862 0.7724 0.2718  4 Mg 3.14-3.19, 8 In 3.20-3.36
In 0.3292 0.6585 0.6763  5 Mg 3.11-3.25, 7 In 3.22-3.36
In 0.6649 0.3298 0.3403  3 Mg 3.17-3.21, 9 In 3.20-3.36

Computed properties:
V   23.9 A^3/atom
Total moment   0.000 μB/f.u.
Fermi-level density of states   1.292 states/eV/f.u.
DFT total energy   -2.6143 eV per atom



Entry 3:
This record from the Alexandria database describes crystalline Be3Ru at its relaxed geometry. The functional is PBEsol.

abc: 4.6288 4.6288 4.6288
angles: 98.79 115.69 114.44
With the nearest neighbours (Å) after each atom.
Fractional positions:
Be 0.0000 0.7301 0.2301  6 Be 2.23-2.46, 4 Ru 2.32
Be 0.0017 0.2517 0.2500  8 Be 2.23-2.40, 3 Ru 2.37-2.47
Be 0.5000 0.2699 0.2699  6 Be 2.23-2.46, 4 Ru 2.32
Be 0.9983 0.7483 0.7500  8 Be 2.23-2.40, 3 Ru 2.37-2.47
Be 0.5000 0.7301 0.7301  6 Be 2.23-2.46, 4 Ru 2.32
Be 0.0000 0.2699 0.7699  6 Be 2.23-2.46, 4 Ru 2.32
Ru 0.4707 0.2207 0.7500  11 Be 2.32-2.47
Ru 0.5293 0.7793 0.2500  11 Be 2.32-2.47

Computed properties:
V   9.3 A^3/atom
Total moment   0.000 μB/f.u.
Fermi-level density of states   1.265 states/eV/f.u.
DFT total energy   -5.8201 eV per atom